Compound: Al2SiPt2
Source: Alexandria via LeMat-Bulk
Functional: GGA-PBE
Structure: relaxed

DFT total energy = -4.40 eV per atom
Energy relative to the elements, uncorrected = 0.60 eV/atom
Density of states at the Fermi level = 0.433 states/eV/atom
Energy above the lowest structure with this stoichiometry = 1.245 eV per atom

CIF file:
```
data_Al2SiPt2
_cell_length_a 4.618
_cell_length_b 4.618
_cell_length_c 4.704
_cell_angle_alpha 90.00
_cell_angle_beta 90.00
_cell_angle_gamma 90.00
_space_group_name_H-M_alt 'P 4/m m m'
_space_group_IT_number 123
_space_group_name_Hall '-P 4 2'
loop_
_atom_site_label
_atom_site_type_symbol
_atom_site_fract_x
_atom_site_fract_y
_atom_site_fract_z
Al1 Al 0.000 0.000 0.000
Al2 Al 0.000 0.000 0.500
Si1 Si 0.500 0.500 0.000
Pt1 Pt 0.000 0.500 0.500
```



Compound: AlSi3Pt
Source: Alexandria via LeMat-Bulk
Functional: GGA-PBE
Structure: relaxed

DFT total energy = -4.61 eV per atom
Energy relative to the elements, uncorrected = 0.60 eV/atom
Density of states at the Fermi level = 0.789 states/eV/atom
Energy above the lowest structure with this stoichiometry = 0.000 eV per atom

CIF file:
```
data_AlSi3Pt
_cell_length_a 4.733
_cell_length_b 4.733
_cell_length_c 4.733
_cell_angle_alpha 90.00
_cell_angle_beta 90.00
_cell_angle_gamma 90.00
_space_group_name_H-M_alt 'P m -3 m'
_space_group_IT_number 221
_space_group_name_Hall '-P 4 2 3'
loop_
_atom_site_label
_atom_site_type_symbol
_atom_site_fract_x
_atom_site_fract_y
_atom_site_fract_z
Al1 Al 0.000 0.000 0.000
Si1 Si 0.000 0.500 0.500
Pt1 Pt 0.500 0.500 0.500
```



Compound: Al2SiPt
Source: Alexandria via LeMat-Bulk
Functional: GGA-PBE
Structure: relaxed

DFT total energy = -5.07 eV per atom
Energy relative to the elements, uncorrected = -0.33 eV/atom
Density of states at the Fermi level = 0.373 states/eV/atom

CIF file:
```
data_Al2SiPt
_cell_length_a 3.0725
_cell_length_b 3.0725
_cell_length_c 23.1115
_cell_angle_alpha 90.00
_cell_angle_beta 90.00
_cell_angle_gamma 120.00
_space_group_name_H-M_alt 'R -3 m'
_space_group_IT_number 166
_space_group_name_Hall '-R 3 2"'
loop_
_atom_site_label
_atom_site_type_symbol
_atom_site_fract_x
_atom_site_fract_y
_atom_site_fract_z
Al1 Al 0.0000 0.0000 0.2490
Si1 Si 0.0000 0.0000 0.0000
Pt1 Pt 0.0000 0.0000 0.5000
```



Which formula does entry 1 have?
Al2SiPt2